First-principles (PBE) data for Er2FeB4Ir4 after structural relaxation, as listed in OQMD via LeMat-Bulk.

abc: 7.370 6.316 5.411
angles: 77.45 56.77 45.78
Sites, in units of the cell vectors:
Er: 0.137 0.137 0.863
Er: 0.863 0.863 0.137
Fe: 0.500 0.500 0.500
B: 0.224 0.514 0.486
B: 0.486 0.776 0.224
B: 0.514 0.224 0.776
B: 0.776 0.486 0.514
Ir: 0.000 0.000 0.500
Ir: 0.250 0.250 0.250
Ir: 0.500 0.500 0.000
Ir: 0.750 0.750 0.750

Computed properties:
For the total energy, the calculation gives -7.920 eV per atom. Its crystal system is orthorhombic.